Entry from Alexandria: an optimized crystal structure of LiGaSe2 (GGA-PBE).

extended XYZ file:
```
8
Lattice="6.465 0.003 0.037 3.365 5.677 0.002 4.757 -2.816 6.047" Properties=species:S:1:pos:R:3 pbc="T T T"
Li 10.473 2.940 3.852
Li 2.333 0.088 1.278
Se 6.074 -1.036 5.576
Se 9.163 0.727 3.796
Se 4.385 3.554 1.330
Ga 10.181 -0.607 5.597
Se 12.443 2.860 5.600
Ga 7.483 0.992 5.576
```

Output
**Calculated density**: 3.53 g cm⁻³
**Total magnetization**: 0.00 μB/f.u.
**Final energy**: -3.84 eV per atom
**Crystal system**: monoclinic


Entry from Alexandria: an optimized crystal structure of Li3HPd4 (GGA-PBE).

extended XYZ file:
```
8
Lattice="5.478 -0.094 -0.370 -2.779 4.721 0.370 -2.698 -1.527 4.532" Properties=species:S:1:pos:R:3 pbc="T T T"
Li 2.353 -1.372 3.524
Pd -1.055 0.615 1.802
Li 0.476 2.823 1.422
Pd 1.688 0.514 1.551
Li 0.059 -0.035 3.911
Pd -2.396 2.999 1.921
H -2.437 1.421 2.903
Pd -3.705 2.161 4.173
```

Output
**Calculated density**: 6.58 g cm⁻³
**Total magnetization**: 0.00 μB/f.u.
**Final energy**: -4.03 eV per atom
**Crystal system**: orthorhombic
**Distance to the lowest polymorph of the same formula**: 0 meV per atom


Entry from Alexandria: an optimized crystal structure of ZrSiW2 (GGA-PBE).

extended XYZ file:
```
4
Lattice="8.694 0.051 0.030 8.127 3.089 0.030 8.127 1.517 2.691" Properties=species:S:1:pos:R:3 pbc="T T T"
Zr 12.434 2.321 1.371
W 0.051 0.009 0.006
Si 18.528 3.459 2.043
W 6.409 1.196 0.707
```

Output
**Calculated density**: 11.49 g cm⁻³
**Total magnetization**: 0.00 μB/f.u.
**Final energy**: -9.76 eV per atom
**Crystal system**: trigonal


Entry from Alexandria: an optimized crystal structure of Ba3C2 (GGA-PBE).

extended XYZ file:
```
10
Lattice="-1.717 2.096 8.481 0.398 6.985 3.156 -6.794 1.755 2.736" Properties=species:S:1:pos:R:3 pbc="T T T"
Ba -6.905 6.248 7.543
C -4.457 7.487 8.317
C -5.289 5.668 5.152
Ba -5.654 7.515 11.018
Ba -1.713 7.772 9.094
C -1.239 6.370 6.658
Ba -3.514 7.861 5.553
Ba -6.366 3.016 5.297
Ba -3.626 4.806 7.424
C -6.167 3.463 8.105
```

Output
**Calculated density**: 4.29 g cm⁻³
**Total magnetization**: 2.06 μB/f.u.
**Final energy**: -3.94 eV per atom
**Crystal system**: orthorhombic
**Distance to the lowest polymorph of the same formula**: 0 meV per atom
**ΔE_f**: 0.908 eV per atom


Entry from Alexandria: an optimized crystal structure of GdZn4Ir (GGA-PBE).

extended XYZ file:
```
6
Lattice="-4.013 -2.173 -2.362 0.599 -4.433 -2.529 -2.051 -4.323 1.872" Properties=species:S:1:pos:R:3 pbc="T T T"
Ir 0.000 0.000 0.000
Zn -2.386 -4.662 -2.835
Zn -3.724 -4.606 -0.614
Zn -3.422 -6.844 -1.890
Gd -1.366 -2.732 -0.755
Zn -1.396 -5.747 -0.698
```

Output
**Calculated density**: 10.58 g cm⁻³
**Total magnetization**: 7.01 μB/f.u.
**Final energy**: -5.06 eV per atom
**Crystal system**: cubic
**ΔE_f**: -0.388 eV per atom


Entry from Alexandria: an optimized crystal structure of In5Bi4Pb4 (GGA-PBE).

extended XYZ file:
```
13
Lattice="-2.933 4.334 0.345 -3.518 1.615 -8.227 -8.523 -2.547 2.152" Properties=species:S:1:pos:R:3 pbc="T T T"
Pb -10.640 -0.295 -3.088
In -5.518 3.219 -5.827
In -11.585 2.364 -5.157
Bi -4.550 0.435 -3.666
Pb -8.953 4.261 -6.383
Pb -4.334 3.697 -2.641
Bi -8.120 1.482 -4.569
In 0.000 0.000 0.000
Pb -6.021 -0.859 0.654
Bi -10.424 2.967 -2.063
In -3.390 1.038 -0.572
Bi -6.855 1.920 -1.161
In -9.456 0.183 0.098
```

Output
**Calculated density**: 9.39 g cm⁻³
**Total magnetization**: 0.00 μB/f.u.
**Final energy**: -3.35 eV per atom
**Crystal system**: triclinic
**ΔE_f**: 0.038 eV per atom


Entry from Alexandria: an optimized crystal structure of SiAgTe4 (GGA-PBE).

extended XYZ file:
```
6
Lattice="0.000 4.455 4.455 4.455 0.000 4.455 4.455 4.455 0.000" Properties=species:S:1:pos:R:3 pbc="T T T"
Ag 6.682 6.682 6.682
Te 3.339 5.571 5.571
Te 3.339 3.339 3.339
Te 5.571 5.571 3.339
Te 5.571 3.339 5.571
Si 0.000 0.000 0.000
```

Output
**Calculated density**: 6.07 g cm⁻³
**Total magnetization**: 0.00 μB/f.u.
**Final energy**: -2.70 eV per atom
**Crystal system**: cubic
**Distance to the lowest polymorph of the same formula**: 634 meV per atom


Entry from Alexandria: an optimized crystal structure of LiZrMo2 (GGA-PBE).

extended XYZ file:
```
4
Lattice="-1.205 0.441 2.367 -1.493 -2.214 -0.347 6.634 -5.154 4.337" Properties=species:S:1:pos:R:3 pbc="T T T"
Mo 6.558 -5.095 4.287
Mo 3.393 -2.636 2.218
Zr 0.310 -2.175 2.094
Li 3.627 -4.752 4.263
```

Output
**Calculated density**: 7.03 g cm⁻³
**Total magnetization**: 0.00 μB/f.u.
**Final energy**: -7.64 eV per atom
**Crystal system**: tetragonal
**Distance to the lowest polymorph of the same formula**: 198 meV per atom
**ΔE_f**: 0.389 eV per atom


Entry from Alexandria: an optimized crystal structure of La2SmScP4 (GGA-PBE).

extended XYZ file:
```
8
Lattice="4.118 0.000 0.000 0.000 7.114 0.124 0.000 -2.488 6.663" Properties=species:S:1:pos:R:3 pbc="T T T"
Sc 0.000 0.000 0.000
P 0.000 4.781 1.659
P 2.059 1.095 1.555
Sm 2.059 3.557 0.062
P 0.000 -0.155 5.128
La 0.000 2.313 3.393
P 2.059 3.531 5.232
La 2.059 -1.244 3.331
```

Output
**Calculated density**: 5.05 g cm⁻³
**Total magnetization**: 0.00 μB/f.u.
**Final energy**: -6.82 eV per atom
**Crystal system**: monoclinic
**ΔE_f**: -1.500 eV per atom


Entry from Alexandria: an optimized crystal structure of MnSi2Ni (GGA-PBE).

extended XYZ file:
```
4
Lattice="-0.977 -2.843 -0.680 1.754 0.003 -2.534 3.717 -1.891 2.569" Properties=species:S:1:pos:R:3 pbc="T T T"
Si 3.626 -1.845 2.507
Mn 1.713 -0.872 1.185
Ni 3.314 -2.909 0.416
Si 1.414 -1.942 -0.898
```

Output
**Calculated density**: 6.06 g cm⁻³
**Total magnetization**: 0.13 μB/f.u.
**Final energy**: -6.78 eV per atom
**Crystal system**: tetragonal


Entry from Alexandria: an optimized crystal structure of NaErGe4 (GGA-PBE).

extended XYZ file:
```
6
Lattice="5.600 0.000 0.000 2.800 4.849 0.000 2.800 1.616 4.572" Properties=species:S:1:pos:R:3 pbc="T T T"
Er 2.800 1.616 1.143
Ge 4.204 4.039 2.856
Ge 5.600 1.622 2.856
Ge 5.600 3.233 0.577
Ge 6.995 4.039 2.856
Na 0.000 0.000 0.000
```

Output
**Calculated density**: 6.43 g cm⁻³
**Total magnetization**: 0.00 μB/f.u.
**Final energy**: -4.29 eV per atom
**Crystal system**: cubic
**ΔE_f**: -0.235 eV per atom


Entry from Alexandria: an optimized crystal structure of La2MnPt (GGA-PBE).

extended XYZ file:
```
8
Lattice="-7.543 -1.071 -2.634 -0.884 -6.213 5.060 -5.301 -1.620 3.505" Properties=species:S:1:pos:R:3 pbc="T T T"
La -6.298 -1.872 -0.189
Mn -5.200 -5.737 4.889
La -7.119 -3.825 3.440
La -2.673 -4.401 3.761
Pt 0.000 0.000 0.000
Pt -8.529 -3.167 1.042
Mn -4.214 -3.642 1.213
La -11.367 -7.710 4.851
```

Output
**Calculated density**: 8.31 g cm⁻³
**Total magnetization**: 2.90 μB/f.u.
**Final energy**: -6.34 eV per atom
**Crystal system**: tetragonal
**ΔE_f**: -0.070 eV per atom